Entry 1:
## Ca2VGaO (GGA+U)

Data for Ca2VGaO after structural relaxation.

Properties
Space group: P4/mmm

Cell lengths 6.2340, 3.7843, 6.2340 Å; angles 90.00, 90.00, 90.00 degrees
Fractional coordinates of all 5 atoms:
V  0.5000  0.5000  0.5000
Ca  0.5000  0.0000  0.0000
O  0.0000  0.5000  0.0000
Ca  0.0000  0.0000  0.5000
Ga  0.0000  0.0000  0.0000

---

Entry 2:
## CaGa4W2O12 (GGA+U)

Data for CaGa4W2O12 after structural relaxation.

Properties
Space group: P-4

Cell lengths 4.8480, 4.8480, 9.2068 Å; angles 90.00, 90.00, 90.00 degrees
Fractional coordinates of all 19 atoms:
Ga  0.0000  0.5000  0.8968
Ca  0.0000  0.0000  0.0000
O  0.8020  0.6878  0.4182
O  0.1980  0.3122  0.4182
Ga  0.0000  0.5000  0.5803
O  0.2154  0.3350  0.0882
O  0.6650  0.2154  0.9118
W  0.5000  0.0000  0.7418
O  0.2772  0.8181  0.2472
O  0.3122  0.8020  0.5818
O  0.1819  0.2772  0.7528
Ga  0.5000  0.0000  0.1032
O  0.6878  0.1980  0.5818
O  0.7846  0.6650  0.0882
O  0.3350  0.7846  0.9118
Ga  0.5000  0.0000  0.4197
O  0.7228  0.1819  0.2472
W  0.0000  0.5000  0.2582
O  0.8181  0.7228  0.7528

---

Entry 3:
## CaGa4W2O12 (GGA+U)

Data for CaGa4W2O12 after structural relaxation.

Properties
Space group: P1

Cell lengths 5.2458, 5.5017, 8.9928 Å; angles 85.15, 84.14, 73.84 degrees
Fractional coordinates of all 19 atoms:
O  0.7950  0.1711  0.8223
Ga  0.0436  0.0360  0.6594
O  0.7905  0.1690  0.4961
O  0.2472  0.8600  0.8395
O  0.7526  0.5162  0.0045
O  0.6072  0.5874  0.6495
O  0.1925  0.8054  0.4977
Ga  0.1002  0.0618  0.3315
O  0.2937  0.3881  0.0082
Ga  0.5116  0.3887  0.1674
W  0.0558  0.1420  0.9805
O  0.2467  0.3457  0.3284
O  0.2740  0.9014  0.1508
Ga  0.5169  0.5359  0.8562
O  0.6132  0.5671  0.3212
O  0.2528  0.2822  0.6266
W  0.4666  0.4541  0.5072
Ca  0.9322  0.6791  0.1719
O  0.8082  0.1085  0.1810

---

| no. | calculated density (g/cm3) | E (eV per atom) |
| --- | --- | --- |
| 1 | 2.4 | -3.57 |
| 2 | 6.7 | -6.41 |
| 3 | 5.9 | -6.48 |